No. 1
# GGA-PBE TcAuN2, relaxed
data_TcAuN2
_symmetry_space_group_name_H-M 'I -4 2 d'
_symmetry_Int_Tables_number 122
_symmetry_space_group_name_Hall 'I -4 2bw'
_cell_length_a 4.967
_cell_length_b 4.967
_cell_length_c 9.137
_cell_angle_alpha 90.00
_cell_angle_beta 90.00
_cell_angle_gamma 90.00
loop_
_atom_site_label
_atom_site_type_symbol
_atom_site_fract_x
_atom_site_fract_y
_atom_site_fract_z
Tc1 Tc 0.000 0.000 0.000
Au1 Au 0.000 0.000 0.500
N1 N 0.179 0.250 0.125
# - polymorph energy (0 for the lowest one) (meV per atom) = 192

---

No. 2
VASP calculation (GGA-PBE) on a relaxed structure of Tc2AuN.

Structure (CIF):
```
data_Tc2AuN
_symmetry_space_group_name_H-M 'I -4 2 d'
_symmetry_Int_Tables_number 122
_symmetry_space_group_name_Hall 'I -4 2bw'
_cell_length_a 5.053
_cell_length_b 5.053
_cell_length_c 10.586
_cell_angle_alpha 90.00
_cell_angle_beta 90.00
_cell_angle_gamma 90.00
loop_
_atom_site_label
_atom_site_type_symbol
_atom_site_fract_x
_atom_site_fract_y
_atom_site_fract_z
Tc1 Tc 0.124 0.250 0.125
Au1 Au 0.000 0.000 0.500
N1 N 0.000 0.000 0.000
```

---

No. 3
VASP calculation (GGA-PBE) on a relaxed structure of TcAuN3.

Structure (CIF):
```
data_TcAuN3
_symmetry_space_group_name_H-M 'P m -3 m'
_symmetry_Int_Tables_number 221
_symmetry_space_group_name_Hall '-P 4 2 3'
_cell_length_a 3.919
_cell_length_b 3.919
_cell_length_c 3.919
_cell_angle_alpha 90.00
_cell_angle_beta 90.00
_cell_angle_gamma 90.00
loop_
_atom_site_label
_atom_site_type_symbol
_atom_site_fract_x
_atom_site_fract_y
_atom_site_fract_z
Tc1 Tc 0.000 0.000 0.000
Au1 Au 0.500 0.500 0.500
N1 N 0.000 0.000 0.500
```

---

No. 4
VASP calculation (GGA-PBE) on a relaxed structure of TcAuN3.

Structure (CIF):
```
data_TcAuN3
_symmetry_space_group_name_H-M 'P m -3 m'
_symmetry_Int_Tables_number 221
_symmetry_space_group_name_Hall '-P 4 2 3'
_cell_length_a 4.005
_cell_length_b 4.005
_cell_length_c 4.005
_cell_angle_alpha 90.00
_cell_angle_beta 90.00
_cell_angle_gamma 90.00
loop_
_atom_site_label
_atom_site_type_symbol
_atom_site_fract_x
_atom_site_fract_y
_atom_site_fract_z
Tc1 Tc 0.000 0.000 0.000
Au1 Au 0.500 0.500 0.500
N1 N 0.000 0.500 0.500
```

---

No. 5
# GGA-PBE TcAuN2, relaxed
data_TcAuN2
_symmetry_space_group_name_H-M 'R -3 m'
_symmetry_Int_Tables_number 166
_symmetry_space_group_name_Hall '-R 3 2"'
_cell_length_a 2.9032
_cell_length_b 2.9032
_cell_length_c 19.8097
_cell_angle_alpha 90.00
_cell_angle_beta 90.00
_cell_angle_gamma 120.00
loop_
_atom_site_label
_atom_site_type_symbol
_atom_site_fract_x
_atom_site_fract_y
_atom_site_fract_z
Tc1 Tc 0.0000 0.0000 0.0000
Au1 Au 0.0000 0.0000 0.5000
N1 N 0.0000 0.0000 0.3953
# - polymorph energy (0 for the lowest one) (meV per atom) = 0

---

No. 6
# GGA-PBE TcAu3N, relaxed
data_TcAu3N
_symmetry_space_group_name_H-M 'P m -3 m'
_symmetry_Int_Tables_number 221
_symmetry_space_group_name_Hall '-P 4 2 3'
_cell_length_a 5.108
_cell_length_b 5.108
_cell_length_c 5.108
_cell_angle_alpha 90.00
_cell_angle_beta 90.00
_cell_angle_gamma 90.00
loop_
_atom_site_label
_atom_site_type_symbol
_atom_site_fract_x
_atom_site_fract_y
_atom_site_fract_z
Tc1 Tc 0.000 0.000 0.000
Au1 Au 0.000 0.000 0.500
N1 N 0.500 0.500 0.500
# - polymorph energy (0 for the lowest one) (meV per atom) = 978

---

No. 7
# GGA-PBE TcAuN2, relaxed
data_TcAuN2
_symmetry_space_group_name_H-M 'F m -3 m'
_symmetry_Int_Tables_number 225
_symmetry_space_group_name_Hall '-F 4 2 3'
_cell_length_a 5.590
_cell_length_b 5.590
_cell_length_c 5.590
_cell_angle_alpha 90.00
_cell_angle_beta 90.00
_cell_angle_gamma 90.00
loop_
_atom_site_label
_atom_site_type_symbol
_atom_site_fract_x
_atom_site_fract_y
_atom_site_fract_z
Tc1 Tc 0.000 0.000 0.000
Au1 Au 0.000 0.000 0.500
N1 N 0.250 0.250 0.250
# - polymorph energy (0 for the lowest one) (meV per atom) = 1307

---

No. 8
VASP calculation (GGA-PBE) on a relaxed structure of Y2TcAuN.

Structure (CIF):
```
data_Y2TcAuN
_symmetry_space_group_name_H-M 'P 4/m m m'
_symmetry_Int_Tables_number 123
_symmetry_space_group_name_Hall '-P 4 2'
_cell_length_a 4.934
_cell_length_b 4.934
_cell_length_c 3.885
_cell_angle_alpha 90.00
_cell_angle_beta 90.00
_cell_angle_gamma 90.00
loop_
_atom_site_label
_atom_site_type_symbol
_atom_site_fract_x
_atom_site_fract_y
_atom_site_fract_z
Y1 Y 0.000 0.500 0.000
Tc1 Tc 0.000 0.000 0.500
Au1 Au 0.500 0.500 0.500
N1 N 0.000 0.000 0.000
```

---

No. 9
VASP calculation (GGA-PBE) on a relaxed structure of Zr2TcAuN.

Structure (CIF):
```
data_Zr2TcAuN
_symmetry_space_group_name_H-M 'P 4/m m m'
_symmetry_Int_Tables_number 123
_symmetry_space_group_name_Hall '-P 4 2'
_cell_length_a 4.498
_cell_length_b 4.498
_cell_length_c 4.040
_cell_angle_alpha 90.00
_cell_angle_beta 90.00
_cell_angle_gamma 90.00
loop_
_atom_site_label
_atom_site_type_symbol
_atom_site_fract_x
_atom_site_fract_y
_atom_site_fract_z
Zr1 Zr 0.000 0.500 0.000
Tc1 Tc 0.000 0.000 0.500
Au1 Au 0.500 0.500 0.500
N1 N 0.000 0.000 0.000
```

---

No. 10
VASP calculation (GGA-PBE) on a relaxed structure of TeAuN3.

Structure (CIF):
```
data_TeAuN3
_symmetry_space_group_name_H-M 'P m -3 m'
_symmetry_Int_Tables_number 221
_symmetry_space_group_name_Hall '-P 4 2 3'
_cell_length_a 4.059
_cell_length_b 4.059
_cell_length_c 4.059
_cell_angle_alpha 90.00
_cell_angle_beta 90.00
_cell_angle_gamma 90.00
loop_
_atom_site_label
_atom_site_type_symbol
_atom_site_fract_x
_atom_site_fract_y
_atom_site_fract_z
Te1 Te 0.000 0.000 0.000
Au1 Au 0.500 0.500 0.500
N1 N 0.000 0.500 0.500
```

---

No. 11
# GGA-PBE Te3AuN, relaxed
data_Te3AuN
_symmetry_space_group_name_H-M 'P -1'
_symmetry_Int_Tables_number 2
_cell_length_a 6.646
_cell_length_b 6.681
_cell_length_c 7.459
_cell_angle_alpha 80.81
_cell_angle_beta 65.76
_cell_angle_gamma 69.14
loop_
_symmetry_equiv_pos_as_xyz
'x,y,z'
'-x,-y,-z'
loop_
_atom_site_label
_atom_site_type_symbol
_atom_site_fract_x
_atom_site_fract_y
_atom_site_fract_z
Te1 Te 0.193 0.280 0.411
Te2 Te 0.245 0.975 0.931
Te3 Te 0.280 0.597 0.712
Au1 Au 0.358 0.356 0.013
N1 N 0.414 0.355 0.493
# - polymorph energy (0 for the lowest one) (meV per atom) = 0

---

No. 12
# GGA-PBE TeAu3N, relaxed
data_TeAu3N
_symmetry_space_group_name_H-M 'P m -3 m'
_symmetry_Int_Tables_number 221
_symmetry_space_group_name_Hall '-P 4 2 3'
_cell_length_a 4.538
_cell_length_b 4.538
_cell_length_c 4.538
_cell_angle_alpha 90.00
_cell_angle_beta 90.00
_cell_angle_gamma 90.00
loop_
_atom_site_label
_atom_site_type_symbol
_atom_site_fract_x
_atom_site_fract_y
_atom_site_fract_z
Te1 Te 0.000 0.000 0.000
Au1 Au 0.000 0.500 0.500
N1 N 0.500 0.500 0.500
# - polymorph energy (0 for the lowest one) (meV per atom) = 0

---

No. 13
VASP calculation (GGA-PBE) on a relaxed structure of Te2AuN.

Structure (CIF):
```
data_Te2AuN
_symmetry_space_group_name_H-M 'I -4 2 d'
_symmetry_Int_Tables_number 122
_symmetry_space_group_name_Hall 'I -4 2bw'
_cell_length_a 5.536
_cell_length_b 5.536
_cell_length_c 12.618
_cell_angle_alpha 90.00
_cell_angle_beta 90.00
_cell_angle_gamma 90.00
loop_
_atom_site_label
_atom_site_type_symbol
_atom_site_fract_x
_atom_site_fract_y
_atom_site_fract_z
Te1 Te 0.181 0.250 0.125
Au1 Au 0.000 0.000 0.500
N1 N 0.000 0.000 0.000
```

---

No. 14
VASP calculation (GGA-PBE) on a relaxed structure of Te2AuN.

Structure (CIF):
```
data_Te2AuN
_symmetry_space_group_name_H-M 'R -3 m'
_symmetry_Int_Tables_number 166
_symmetry_space_group_name_Hall '-R 3 2"'
_cell_length_a 3.2672
_cell_length_b 3.2672
_cell_length_c 26.6211
_cell_angle_alpha 90.00
_cell_angle_beta 90.00
_cell_angle_gamma 120.00
loop_
_atom_site_label
_atom_site_type_symbol
_atom_site_fract_x
_atom_site_fract_y
_atom_site_fract_z
Te1 Te 0.0000 0.0000 0.1048
Au1 Au 0.0000 0.0000 0.0000
N1 N 0.0000 0.0000 0.5000
```

---

Number 1: raw formation energy 547 meV per atom. Number 2: raw formation energy 641 meV per atom. Number 3: raw formation energy 1298 meV per atom. Number 4: raw formation energy 2599 meV per atom. Number 5: raw formation energy 355 meV per atom. Number 6: raw formation energy 2159 meV per atom. Number 7: raw formation energy 1662 meV per atom. Number 8: raw formation energy -852 meV per atom. Number 9: raw formation energy -726 meV per atom. Number 10: raw formation energy 2286 meV per atom. Number 11: raw formation energy 404 meV per atom. Number 12: raw formation energy 829 meV per atom. Number 13: raw formation energy 662 meV per atom. Number 14: raw formation energy 899 meV per atom.